A relaxed structure of Ca2CdAg. Source: the Alexandria database, functional PBE-GGA.

Cell lengths 4.046, 4.046, 26.023 Å; angles 90.00, 90.00, 120.00 degrees
Element x y z (fractional)
Ca  0.000  0.000  0.000
Ca  0.000  0.000  0.181
Ca  0.333  0.667  0.667
Ca  0.333  0.667  0.847
Ca  0.667  0.333  0.333
Ca  0.667  0.333  0.514
Cd  0.000  0.000  0.424
Cd  0.333  0.667  0.091
Cd  0.667  0.333  0.757
Ag  0.000  0.000  0.590
Ag  0.333  0.667  0.256
Ag  0.667  0.333  0.923

Computed properties:
SG: R3m, No. 160
Calculated formation energy in meV per atom: -151
E_tot in eV per atom: -2.093
Magnetic moment in μB per atom: 0.0000

=====

A relaxed structure of CaCd2Ag4. Source: the Alexandria database, functional PBE-GGA.

Cell lengths 8.638, 8.638, 5.533 Å; angles 90.00, 90.00, 90.00 degrees
Element x y z (fractional)
Ca  0.000  0.000  0.000
Ca  0.500  0.500  0.500
Cd  0.000  0.500  0.250
Cd  0.000  0.500  0.750
Cd  0.500  0.000  0.250
Cd  0.500  0.000  0.750
Ag  0.000  0.221  0.500
Ag  0.000  0.779  0.500
Ag  0.221  0.000  0.500
Ag  0.279  0.500  0.000
Ag  0.500  0.279  0.000
Ag  0.500  0.721  0.000
Ag  0.721  0.500  0.000
Ag  0.779  0.000  0.500

Computed properties:
SG: I4/mmm, No. 139
Energy relative to the lowest polymorph listed for this composition in meV per atom: 402
Calculated formation energy in meV per atom: 215
E_tot in eV per atom: -1.961
Magnetic moment in μB per atom: 0.0000